! BaGaCu3S4, optimized geometry, DFT PBE-GGA; values from VASP
&SYSTEM
  ibrav = 0, nat = 27, ntyp = 4
/
ATOMIC_SPECIES
Ba 137.33 Ba.upf
Ga 69.72 Ga.upf
Cu 63.55 Cu.upf
S 32.06 S.upf
CELL_PARAMETERS angstrom
6.3427 0.0000 0.0000
-3.1713 5.4929 0.0000
0.0000 0.0000 15.6546
ATOMIC_POSITIONS crystal
Ba 0.0000 0.5406 0.3333
Ba 0.4594 0.4594 0.0000
Ba 0.5406 0.0000 0.6667
Ga 0.0000 0.7186 0.8333
Ga 0.2814 0.2814 0.5000
Ga 0.7186 0.0000 0.1667
Cu 0.0000 0.2091 0.8333
Cu 0.0663 0.6178 0.0821
Cu 0.2091 0.0000 0.1667
Cu 0.3822 0.4485 0.7488
Cu 0.4485 0.3822 0.2512
Cu 0.5515 0.9337 0.4154
Cu 0.6178 0.0663 0.9179
Cu 0.7909 0.7909 0.5000
Cu 0.9337 0.5515 0.5846
S 0.0389 0.4988 0.7225
S 0.1144 0.3263 0.1649
S 0.2118 0.8856 0.4982
S 0.3263 0.1144 0.8351
S 0.4599 0.9611 0.0558
S 0.4988 0.0389 0.2775
S 0.5012 0.5401 0.3892
S 0.5401 0.5012 0.6108
S 0.6737 0.7882 0.8316
S 0.7882 0.6737 0.1684
S 0.8856 0.2118 0.5018
S 0.9611 0.4599 0.9442
! symmetry = P3_221, No. 154
! total energy = -4.401 eV/atom


! ZnCdSO, optimized geometry, DFT PBE-GGA; values from VASP
&SYSTEM
  ibrav = 0, nat = 8, ntyp = 4
/
ATOMIC_SPECIES
Zn 65.41 Zn.upf
Cd 112.41 Cd.upf
S 32.06 S.upf
O 16.00 O.upf
CELL_PARAMETERS angstrom
1.6999 -6.6563 0.0000
1.6999 6.6563 0.0000
0.0000 0.0000 6.0085
ATOMIC_POSITIONS crystal
Zn 0.1665 0.8335 0.5000
Zn 0.8335 0.1665 0.0000
Cd 0.4312 0.5688 0.5504
Cd 0.5688 0.4312 0.0504
S 0.1918 0.8082 0.8855
S 0.8082 0.1918 0.3855
O 0.4159 0.5841 0.9194
O 0.5841 0.4159 0.4194
! offset from the most stable computed form = 0.55 eV/f.u.
! symmetry = Cmc2_1, No. 36